{
  "formula": "Tl2V2NiO7",
  "functional": "PBE with a Hubbard U",
  "state": "optimized geometry",
  "dos_at_fermi_per_ev_fu": 0.00,
  "m_tot_mub_per_cell": 0.0,
  "e_tot_ev_per_atom": -6.088,
  "lattice_angstrom": [[-1.4109, -4.9608, -1.6694], [5.3208, -0.9768, 0.3490], [2.5820, -7.5864, 6.3631]],
  "species": ["Tl", "Tl", "V", "V", "Ni", "O", "O", "O", "O", "O", "O", "O"],
  "frac_coords": [[0.9556, 0.9556, 0.3237], [0.0444, 0.0444, 0.6763], [0.4503, 0.4503, 0.8454], [0.5497, 0.5497, 0.1546], [0.0000, 0.0000, 0.0000], [0.5000, 0.5000, 0.0000], [0.2800, 0.2800, 0.3548], [0.7200, 0.7200, 0.6452], [0.8946, 0.5800, 0.1225], [0.5800, 0.8946, 0.1225], [0.4200, 0.1054, 0.8775], [0.1054, 0.4200, 0.8775]]
}

=====

{
  "formula": "TlNi2WO",
  "functional": "PBE with a Hubbard U",
  "state": "optimized geometry",
  "dos_at_fermi_per_ev_fu": 1.92,
  "m_tot_mub_per_cell": 0.0,
  "e_tot_ev_per_atom": -3.196,
  "lattice_angstrom": [[4.8060, 0.0000, 0.0000], [0.0000, 3.8252, 0.0000], [0.0000, 0.0000, 4.8060]],
  "species": ["Ni", "Ni", "Tl", "O", "W"],
  "frac_coords": [[0.0000, 0.0000, 0.5000], [0.5000, 0.0000, 0.0000], [0.5000, 0.5000, 0.5000], [0.0000, 0.5000, 0.0000], [0.0000, 0.0000, 0.0000]]
}

=====

{
  "formula": "TlZn2NiO",
  "functional": "PBE with a Hubbard U",
  "state": "optimized geometry",
  "dos_at_fermi_per_ev_fu": 3.64,
  "m_tot_mub_per_cell": 0.0,
  "e_tot_ev_per_atom": -1.861,
  "lattice_angstrom": [[4.4683, 0.0000, 0.0000], [0.0000, 4.9251, 0.0000], [0.0000, 0.0000, 4.4683]],
  "species": ["Ni", "Tl", "Zn", "Zn", "O"],
  "frac_coords": [[0.0000, 0.0000, 0.0000], [0.0000, 0.5000, 0.0000], [0.0000, 0.0000, 0.5000], [0.5000, 0.0000, 0.0000], [0.5000, 0.5000, 0.5000]]
}

=====

{
  "formula": "Tm2NiO",
  "functional": "PBE with a Hubbard U",
  "state": "optimized geometry",
  "dos_at_fermi_per_ev_fu": 2.96,
  "m_tot_mub_per_cell": 0.0,
  "e_tot_ev_per_atom": -4.778,
  "lattice_angstrom": [[3.2777, 0.0000, 0.0000], [1.6388, 2.8385, 0.0000], [1.6388, 0.9462, 7.6630]],
  "species": ["Ni", "Tm", "Tm", "O"],
  "frac_coords": [[0.0000, 0.0000, 0.0000], [0.1057, 0.1057, 0.6828], [0.8943, 0.8943, 0.3172], [0.5000, 0.5000, 0.5000]]
}

=====

{
  "formula": "Tm3Ni5O12",
  "functional": "PBE with a Hubbard U",
  "state": "optimized geometry",
  "dos_at_fermi_per_ev_fu": 5.83,
  "m_tot_mub_per_cell": 44.0,
  "e_tot_ev_per_atom": -6.039,
  "lattice_angstrom": [[-4.6411, -9.5188, 0.2230], [9.1726, -0.6664, -5.2553], [1.8364, 3.2657, 9.9076]],
  "species": ["Tm", "Tm", "Tm", "Tm", "Tm", "Tm", "Tm", "Tm", "Tm", "Tm", "Tm", "Tm", "Ni", "Ni", "Ni", "Ni", "Ni", "Ni", "Ni", "Ni", "Ni", "Ni", "Ni", "Ni", "Ni", "Ni", "Ni", "Ni", "Ni", "Ni", "Ni", "Ni", "O", "O", "O", "O", "O", "O", "O", "O", "O", "O", "O", "O", "O", "O", "O", "O", "O", "O", "O", "O", "O", "O", "O", "O", "O", "O", "O", "O", "O", "O", "O", "O", "O", "O", "O", "O", "O", "O", "O", "O", "O", "O", "O", "O", "O", "O", "O", "O"],
  "frac_coords": [[0.7500, 0.3750, 0.1250], [0.8750, 0.7500, 0.1250], [0.3750, 0.7500, 0.6250], [0.2500, 0.1250, 0.3750], [0.8750, 0.1250, 0.2500], [0.3750, 0.6250, 0.2500], [0.6250, 0.3750, 0.7500], [0.1250, 0.8750, 0.7500], [0.7500, 0.8750, 0.6250], [0.6250, 0.2500, 0.3750], [0.1250, 0.2500, 0.8750], [0.2500, 0.6250, 0.8750], [0.1250, 0.3750, 0.2500], [0.0000, 0.5000, 0.0000], [0.0000, 0.0000, 0.0000], [0.3750, 0.2500, 0.1250], [0.5000, 0.0000, 0.5000], [0.5000, 0.5000, 0.0000], [0.1250, 0.7500, 0.3750], [0.7500, 0.1250, 0.8750], [0.7500, 0.6250, 0.3750], [0.3750, 0.1250, 0.7500], [0.6250, 0.8750, 0.2500], [0.5000, 0.5000, 0.5000], [0.5000, 0.0000, 0.0000], [0.0000, 0.0000, 0.5000], [0.2500, 0.3750, 0.6250], [0.2500, 0.8750, 0.1250], [0.0000, 0.5000, 0.5000], [0.8750, 0.2500, 0.6250], [0.6250, 0.7500, 0.8750], [0.8750, 0.6250, 0.7500], [0.7108, 0.1269, 0.0327], [0.3219, 0.5327, 0.4058], [0.9673, 0.3731, 0.2892], [0.5327, 0.2108, 0.1269], [0.5838, 0.7108, 0.6781], [0.9673, 0.5942, 0.1781], [0.3219, 0.7892, 0.4162], [0.0942, 0.9162, 0.1269], [0.5942, 0.9673, 0.6781], [0.7108, 0.5838, 0.1781], [0.7892, 0.4673, 0.3731], [0.8219, 0.9058, 0.0327], [0.1269, 0.7108, 0.5327], [0.3731, 0.4058, 0.0838], [0.0838, 0.9058, 0.3731], [0.4162, 0.1269, 0.5942], [0.0838, 0.1781, 0.2108], [0.4673, 0.6781, 0.0942], [0.8219, 0.9162, 0.2892], [0.1269, 0.4162, 0.0942], [0.3731, 0.9673, 0.7892], [0.5942, 0.6269, 0.4162], [0.9058, 0.8219, 0.5327], [0.7892, 0.3219, 0.9162], [0.4058, 0.3731, 0.5838], [0.0942, 0.1781, 0.4673], [0.2108, 0.6781, 0.0838], [0.1781, 0.0838, 0.7108], [0.6269, 0.0327, 0.2108], [0.8731, 0.5838, 0.9058], [0.5327, 0.3219, 0.9058], [0.5838, 0.8731, 0.4058], [0.9162, 0.8219, 0.7892], [0.9162, 0.0942, 0.6269], [0.8731, 0.2892, 0.4673], [0.1781, 0.0942, 0.9673], [0.6269, 0.5942, 0.9162], [0.4058, 0.0327, 0.3219], [0.2892, 0.4162, 0.8219], [0.2108, 0.5327, 0.6269], [0.9058, 0.0838, 0.8731], [0.6781, 0.2108, 0.5838], [0.4673, 0.7892, 0.8731], [0.0327, 0.4058, 0.8219], [0.4162, 0.2892, 0.3219], [0.0327, 0.6269, 0.7108], [0.6781, 0.4673, 0.5942], [0.2892, 0.8731, 0.9673]]
}

=====

{
  "formula": "TmUNiO6",
  "functional": "PBE with a Hubbard U",
  "state": "optimized geometry",
  "dos_at_fermi_per_ev_fu": 4.38,
  "m_tot_mub_per_cell": 2.0,
  "e_tot_ev_per_atom": -7.896,
  "lattice_angstrom": [[5.2727, 0.0000, 0.0000], [-2.6363, 4.5663, 0.0000], [0.0000, 0.0000, 9.8178]],
  "species": ["Tm", "Tm", "U", "U", "Ni", "Ni", "O", "O", "O", "O", "O", "O", "O", "O", "O", "O", "O", "O"],
  "frac_coords": [[0.0000, 0.0000, 0.0000], [0.0000, 0.0000, 0.5000], [0.6667, 0.3333, 0.2500], [0.3333, 0.6667, 0.7500], [0.3333, 0.6667, 0.2500], [0.6667, 0.3333, 0.7500], [0.6511, 0.6563, 0.1350], [0.0052, 0.3489, 0.1350], [0.3489, 0.0052, 0.6350], [0.9948, 0.6511, 0.8650], [0.3437, 0.3489, 0.3650], [0.0052, 0.6563, 0.3650], [0.6563, 0.0052, 0.8650], [0.6511, 0.9948, 0.3650], [0.9948, 0.3437, 0.6350], [0.3437, 0.9948, 0.1350], [0.6563, 0.6511, 0.6350], [0.3489, 0.3437, 0.8650]]
}

=====

{
  "formula": "Tm2UNiO8",
  "functional": "PBE with a Hubbard U",
  "state": "optimized geometry",
  "dos_at_fermi_per_ev_fu": 8.64,
  "m_tot_mub_per_cell": 3.7,
  "e_tot_ev_per_atom": -7.756,
  "lattice_angstrom": [[4.9656, -0.0724, -0.0026], [-0.0576, 4.9654, -0.0055], [0.0038, 0.0073, 6.7124]],
  "species": ["Tm", "Tm", "U", "Ni", "O", "O", "O", "O", "O", "O", "O", "O"],
  "frac_coords": [[0.5000, 0.5000, 0.7446], [0.5000, 0.5000, 0.2554], [0.0000, 0.0000, 0.0000], [0.0000, 0.0000, 0.5000], [0.1862, 0.8125, 0.2399], [0.7011, 0.7027, 0.0000], [0.8138, 0.1875, 0.2399], [0.8138, 0.1875, 0.7601], [0.2989, 0.2973, 0.0000], [0.1862, 0.8125, 0.7601], [0.7176, 0.7185, 0.5000], [0.2824, 0.2815, 0.5000]]
}

=====

{
  "formula": "TmV2NiO8",
  "functional": "PBE with a Hubbard U",
  "state": "optimized geometry",
  "dos_at_fermi_per_ev_fu": 4.31,
  "m_tot_mub_per_cell": 1.0,
  "e_tot_ev_per_atom": -7.048,
  "lattice_angstrom": [[-0.3212, -5.0522, 2.7145], [5.1208, 2.1597, -1.4522], [0.2982, 2.7174, 5.0928]],
  "species": ["Tm", "V", "V", "Ni", "O", "O", "O", "O", "O", "O", "O", "O"],
  "frac_coords": [[0.0000, 0.0000, 0.0000], [0.6667, 0.3333, 0.3542], [0.3333, 0.6667, 0.6458], [0.0000, 0.0000, 0.5000], [0.8392, 0.1608, 0.2673], [0.8392, 0.6784, 0.2673], [0.3216, 0.1608, 0.2673], [0.6784, 0.8392, 0.7327], [0.3333, 0.6667, 0.3611], [0.6667, 0.3333, 0.6389], [0.1608, 0.8392, 0.7327], [0.1608, 0.3216, 0.7327]]
}